No. 1
Below is a relaxed BaAs3 crystal, with properties calculated at the PBE level.

Values from the calculation:
Its space group is No. 139. The magnetization comes out at 0.0000 μB/atom. The electronic total energy comes out at -4.07 eV/atom.

Cell and atoms, written as extended XYZ:
```
4
Lattice="5.948 0.296 0.000 2.272 5.505 0.000 -4.110 -2.900 3.188" Properties=species:S:1:pos:R:3 pbc="T T T"
Ba 0.000 0.000 0.000
As 1.136 2.752 1.594
As 2.974 0.148 1.594
As 4.110 2.900 0.000
```


No. 2
Below is a relaxed Zn2Cd2Pb crystal, with properties calculated at the PBE level.

Values from the calculation:
Its space group is No. 139. The magnetization comes out at 0.0000 μB/atom. The electronic total energy comes out at -1.52 eV/atom.

Cell and atoms, written as extended XYZ:
```
5
Lattice="4.382 0.000 0.000 0.000 4.382 0.000 2.191 2.191 5.938" Properties=species:S:1:pos:R:3 pbc="T T T"
Cd 2.191 4.382 2.969
Zn 4.382 4.382 4.717
Zn 2.191 2.191 1.222
Pb 0.000 0.000 0.000
Cd 4.382 2.191 2.969
```


No. 3
Below is a relaxed ErHf11 crystal, with properties calculated at the PBE level.

Values from the calculation:
Its space group is No. 191. The magnetization comes out at 0.0000 μB/atom. The electronic total energy comes out at -9.43 eV/atom.

Cell and atoms, written as extended XYZ:
```
12
Lattice="3.137 0.000 0.000 0.000 8.735 -5.043 0.000 0.000 10.087" Properties=species:S:1:pos:R:3 pbc="T T T"
Hf 1.569 7.189 -2.365
Hf 1.569 3.093 0.000
Hf 0.000 4.368 -2.522
Hf 0.000 2.912 5.043
Hf 0.000 5.824 0.000
Hf 1.569 7.189 2.365
Hf 1.569 1.546 2.678
Hf 1.569 5.643 5.043
Er 0.000 0.000 0.000
Hf 1.569 1.546 7.409
Hf 0.000 4.368 2.522
Hf 0.000 0.000 5.043
```


No. 4
Below is a relaxed V5Ir4Pd crystal, with properties calculated at the PBE level.

Values from the calculation:
Its space group is No. 123. The magnetization comes out at 0.0000 μB/atom. The electronic total energy comes out at -9.06 eV/atom.

Cell and atoms, written as extended XYZ:
```
10
Lattice="-0.972 -0.330 -2.545 -2.265 -1.168 1.017 -8.181 16.694 0.957" Properties=species:S:1:pos:R:3 pbc="T T T"
V -7.332 10.910 -0.096
V -5.709 7.598 -0.286
Ir -4.896 9.990 0.573
Pd 0.000 0.000 0.000
Ir -1.651 3.369 0.193
V -4.086 4.285 -0.476
Ir -6.530 13.325 0.764
Ir -3.285 6.704 0.384
V -2.480 1.009 -0.663
V -8.938 14.187 0.092
```


No. 5
Below is a relaxed Mg2TiSbC crystal, with properties calculated at the PBE level.

Values from the calculation:
Its space group is No. 123. The magnetization comes out at 0.5500 μB/atom. The electronic total energy comes out at -3.06 eV/atom. The formation energy (no corrections) is 42.11 kcal/mol of atoms.

Cell and atoms, written as extended XYZ:
```
5
Lattice="5.540 0.000 0.000 0.000 5.095 0.000 0.000 0.000 5.540" Properties=species:S:1:pos:R:3 pbc="T T T"
Sb 0.000 2.548 0.000
Mg 2.770 0.000 0.000
Ti 0.000 0.000 0.000
Mg 0.000 0.000 2.770
C 2.770 2.548 2.770
```


No. 6
Below is a relaxed PmIn2I6 crystal, with properties calculated at the PBE level.

Values from the calculation:
Its space group is No. 15. The magnetization comes out at 0.0000 μB/atom. The electronic total energy comes out at -2.95 eV/atom. The formation energy (no corrections) is -17.95 kcal/mol of atoms.

Cell and atoms, written as extended XYZ:
```
18
Lattice="9.012 0.254 0.245 2.868 10.765 -0.419 2.868 -0.070 10.773" Properties=species:S:1:pos:R:3 pbc="T T T"
Pm 5.121 0.703 10.101
I 3.564 8.880 -0.234
I 6.678 10.769 1.594
Pm 9.627 10.246 0.498
I 6.277 4.335 3.263
In 10.181 8.779 6.163
In 5.675 6.318 8.452
I 10.783 3.528 4.350
I 11.184 2.069 10.834
I 8.471 6.614 7.337
I 4.451 0.159 7.200
I 10.297 10.790 3.400
In 9.073 4.631 2.147
In 4.567 2.170 4.436
I 8.070 0.180 9.005
I 8.957 7.328 0.049
I 3.965 7.421 6.250
I 5.791 3.621 10.551
```


No. 7
Below is a relaxed Er3Al9Ru2 crystal, with properties calculated at the PBE level.

Values from the calculation:
Its space group is No. 71. The magnetization comes out at 0.0000 μB/atom. The electronic total energy comes out at -5.28 eV/atom.

Cell and atoms, written as extended XYZ:
```
14
Lattice="-3.984 -0.939 1.401 0.860 -1.999 7.786 -2.294 6.366 4.424" Properties=species:S:1:pos:R:3 pbc="T T T"
Al -0.361 -0.305 5.450
Al -4.241 4.270 10.841
Al -1.726 3.315 3.995
Al -3.367 1.951 11.773
Al -1.177 -0.842 2.769
Al -3.692 0.113 9.616
Er -3.226 0.638 4.614
Ru -2.172 0.290 7.378
Al -2.051 1.477 1.837
Er -2.192 2.790 8.997
Al -0.717 2.184 6.105
Al -5.057 3.733 8.160
Ru -3.246 3.138 6.233
Er 0.000 0.000 0.000
```


No. 8
Below is a relaxed Ce5Zn4Cd crystal, with properties calculated at the PBE level.

Values from the calculation:
Its space group is No. 123. The magnetization comes out at 0.0012 μB/atom. The electronic total energy comes out at -3.76 eV/atom.

Cell and atoms, written as extended XYZ:
```
10
Lattice="3.111 0.000 0.000 0.000 3.111 0.000 0.000 0.000 23.019" Properties=species:S:1:pos:R:3 pbc="T T T"
Zn 0.000 0.000 9.263
Ce 1.556 1.556 11.510
Ce 1.556 1.556 20.467
Zn 0.000 0.000 4.772
Ce 1.556 1.556 16.002
Cd 0.000 0.000 0.000
Ce 1.556 1.556 7.017
Zn 0.000 0.000 18.247
Ce 1.556 1.556 2.553
Zn 0.000 0.000 13.756
```


> Number 2 is which compound?

Zn2Cd2Pb


> Which of these has the highest magnetization?

Mg2TiSbC


What did the fifth record say?
Below is a relaxed Mg2TiSbC crystal, with properties calculated at the PBE level.

Values from the calculation:
Its space group is No. 123. The magnetization comes out at 0.5500 μB/atom. The electronic total energy comes out at -3.06 eV/atom. The formation energy (no corrections) is 42.11 kcal/mol of atoms.

Cell and atoms, written as extended XYZ:
```
5
Lattice="5.540 0.000 0.000 0.000 5.095 0.000 0.000 0.000 5.540" Properties=species:S:1:pos:R:3 pbc="T T T"
Sb 0.000 2.548 0.000
Mg 2.770 0.000 0.000
Ti 0.000 0.000 0.000
Mg 0.000 0.000 2.770
C 2.770 2.548 2.770
```